1.
Here is a geometry-optimized CaHo2MgPd4 structure from Alexandria. Energies are from PBE.

a = 8.4326 Å, b = 8.4326 Å, c = 8.4326 Å
α = 33.45°, β = 33.45°, γ = 33.45°
Closest atoms and distances in Å follow each position.
Atoms (fractional coordinates):
Ca (0.0000, 0.0000, 0.0000)  8 Pd 3.02-3.03
Ho (0.2464, 0.2464, 0.2464)  7 Pd 2.85-2.96
Ho (0.7536, 0.7536, 0.7536)  7 Pd 2.85-2.96
Mg (0.5000, 0.5000, 0.5000)  8 Pd 2.85-2.96
Pd (0.1271, 0.1271, 0.1271)  4 Ho 2.85-2.96, 3 Mg 2.96, 1 Ca 3.03
Pd (0.3807, 0.3807, 0.3807)  1 Mg 2.85, 3 Ho 2.96, 3 Ca 3.02
Pd (0.6193, 0.6193, 0.6193)  1 Mg 2.85, 3 Ho 2.96, 3 Ca 3.02
Pd (0.8729, 0.8729, 0.8729)  4 Ho 2.85-2.96, 3 Mg 2.96, 1 Ca 3.03

The value obtained for the energy is -39.9 eV/cell. The energy of formation from the pure elements is -0.793 eV/atom.



2.
Here is a geometry-optimized La2ZnP2O structure from Alexandria. Energies are from PBE.

a = 3.4073 Å, b = 3.4073 Å, c = 14.5268 Å
α = 90.00°, β = 90.00°, γ = 90.00°
Closest atoms and distances in Å follow each position.
Atoms (fractional coordinates):
La (0.0000, 0.0000, 0.1453)  1 O 2.11
La (0.0000, 0.0000, 0.8547)  1 O 2.11
Zn (0.0000, 0.0000, 0.5000)  2 P 2.24
P (0.0000, 0.0000, 0.3460)  1 Zn 2.24
P (0.0000, 0.0000, 0.6540)  1 Zn 2.24
O (0.0000, 0.0000, 0.0000)  2 La 2.11

The value obtained for the energy is -28.7 eV/cell.



3.
Here is a geometry-optimized Sr2FeMo structure from Alexandria. Energies are from PBE.

a = 3.9114 Å, b = 3.9114 Å, c = 7.0725 Å
α = 90.00°, β = 90.00°, γ = 90.00°
Closest atoms and distances in Å follow each position.
Atoms (fractional coordinates):
Sr (0.0000, 0.0000, 0.2440)  4 Fe 3.26, 4 Mo 3.31, 2 Sr 3.45-3.62
Sr (0.0000, 0.0000, 0.7560)  4 Fe 3.26, 4 Mo 3.31, 2 Sr 3.45-3.62
Fe (0.5000, 0.5000, 0.0000)  8 Sr 3.26, 2 Mo 3.54
Mo (0.5000, 0.5000, 0.5000)  8 Sr 3.31, 2 Fe 3.54

The value obtained for the energy is -18.0 eV/cell. The energy of formation from the pure elements is 1.162 eV/atom. Its polymorph energy (0 for the lowest one) is 57.0 kJ/mol of atoms.



4.
Here is a geometry-optimized KLiSi structure from Alexandria. Energies are from PBE.

a = 3.7648 Å, b = 4.1913 Å, c = 11.5989 Å
α = 90.00°, β = 99.17°, γ = 90.00°
Closest atoms and distances in Å follow each position.
Atoms (fractional coordinates):
K (0.0000, 0.0000, 0.0000)  2 Li 3.46, 2 Si 3.49-3.50, 2 K 3.76
K (0.3164, 0.5000, 0.6521)  2 Li 3.42-3.43, 2 Si 3.66, 2 K 3.76
Li (0.1172, 0.5000, 0.2407)  2 Li 2.64, 6 Si 2.71-2.82
Li (0.6961, 0.5000, 0.4020)  2 Li 2.64, 6 Si 2.67-2.82
Si (0.1905, 0.0000, 0.3903)  2 Si 2.42, 2 Li 2.71
Si (0.6252, 0.0000, 0.2570)  2 Si 2.42, 2 Li 2.67

The value obtained for the energy is -17.2 eV/cell. Its polymorph energy (0 for the lowest one) is 3.1 kJ/mol of atoms.



5.
Here is a geometry-optimized ScMnFeS2 structure from Alexandria. Energies are from PBE.

a = 4.4506 Å, b = 4.4506 Å, c = 4.5655 Å
α = 90.00°, β = 90.00°, γ = 90.00°
Closest atoms and distances in Å follow each position.
Atoms (fractional coordinates):
Sc (0.0000, 0.0000, 0.0000)  2 Mn 2.28
Mn (0.0000, 0.0000, 0.5000)  4 S 2.23, 2 Sc 2.28
Fe (0.5000, 0.5000, 0.0000)  4 Sc 3.15, 8 S 3.19
S (0.0000, 0.5000, 0.5000)  2 Mn 2.23
S (0.5000, 0.0000, 0.5000)  2 Mn 2.23

The value obtained for the energy is -30.5 eV/cell.



6.
Here is a geometry-optimized Pm3CdTe6 structure from Alexandria. Energies are from PBE.

a = 9.5700 Å, b = 9.5700 Å, c = 7.6478 Å
α = 90.00°, β = 90.00°, γ = 99.62°
Closest atoms and distances in Å follow each position.
Atoms (fractional coordinates):
Pm (0.0972, 0.9028, 0.5000)  7 Te 3.18-3.27
Pm (0.2271, 0.4180, 0.3913)  7 Te 3.15-3.31
Pm (0.4180, 0.2271, 0.8913)  7 Te 3.15-3.31
Pm (0.5820, 0.7729, 0.3913)  7 Te 3.15-3.31
Pm (0.7729, 0.5820, 0.8913)  7 Te 3.15-3.31
Pm (0.9028, 0.0972, 0.0000)  7 Te 3.18-3.27
Cd (0.2866, 0.7134, 0.8656)  4 Te 2.81-2.91
Cd (0.7134, 0.2866, 0.3656)  4 Te 2.81-2.91
Te (0.0465, 0.5915, 0.6604)  1 Cd 2.87, 2 Pm 3.15-3.18
Te (0.1225, 0.2047, 0.6967)  4 Pm 3.15-3.23
Te (0.2047, 0.1225, 0.1967)  4 Pm 3.15-3.23
Te (0.2714, 0.7286, 0.2325)  1 Cd 2.81
Te (0.4085, 0.9535, 0.6604)  1 Cd 2.87, 2 Pm 3.15-3.18
Te (0.4642, 0.5358, 0.6945)  1 Cd 2.91
Te (0.5358, 0.4642, 0.1945)  1 Cd 2.91
Te (0.5915, 0.0465, 0.1604)  1 Cd 2.87, 2 Pm 3.15-3.18
Te (0.7286, 0.2714, 0.7325)  1 Cd 2.81
Te (0.7952, 0.8775, 0.6967)  4 Pm 3.15-3.23
Te (0.8775, 0.7952, 0.1967)  4 Pm 3.15-3.23
Te (0.9535, 0.4085, 0.1604)  1 Cd 2.87, 2 Pm 3.15-3.18

The value obtained for the energy is -90.1 eV/cell.



7.
Here is a geometry-optimized KAg2Au structure from Alexandria. Energies are from PBE.

a = 5.3136 Å, b = 5.3136 Å, c = 19.0309 Å
α = 90.00°, β = 90.00°, γ = 90.00°
Closest atoms and distances in Å follow each position.
Atoms (fractional coordinates):
K (0.0000, 0.2500, 0.3750)  4 Au 3.76, 8 Ag 3.81
K (0.0000, 0.7500, 0.6250)  4 Au 3.76, 8 Ag 3.81
K (0.5000, 0.2500, 0.1250)  4 Au 3.76, 8 Ag 3.81
K (0.5000, 0.7500, 0.8750)  4 Au 3.76, 8 Ag 3.81
Ag (0.0000, 0.0000, 0.0000)  2 Ag 2.66, 2 Au 2.72
Ag (0.0000, 0.5000, 0.0000)  2 Ag 2.66, 2 Au 2.72
Ag (0.2500, 0.2500, 0.7500)  2 Ag 2.66, 2 Au 2.72
Ag (0.2500, 0.7500, 0.2500)  2 Ag 2.66, 2 Au 2.72
Ag (0.5000, 0.0000, 0.5000)  2 Ag 2.66, 2 Au 2.72
Ag (0.5000, 0.5000, 0.5000)  2 Ag 2.66, 2 Au 2.72
Ag (0.7500, 0.2500, 0.7500)  2 Ag 2.66, 2 Au 2.72
Ag (0.7500, 0.7500, 0.2500)  2 Ag 2.66, 2 Au 2.72
Au (0.0000, 0.2500, 0.8750)  4 Ag 2.72
Au (0.0000, 0.7500, 0.1250)  4 Ag 2.72
Au (0.5000, 0.2500, 0.6250)  4 Ag 2.72
Au (0.5000, 0.7500, 0.3750)  4 Ag 2.72

The value obtained for the energy is -39.8 eV/cell. The energy of formation from the pure elements is 0.032 eV/atom. Its polymorph energy (0 for the lowest one) is 13.1 kJ/mol of atoms.



8.
Here is a geometry-optimized Ti12Hg3Pd structure from Alexandria. Energies are from PBE.

a = 4.1335 Å, b = 4.1335 Å, c = 16.2222 Å
α = 90.00°, β = 90.00°, γ = 90.00°
Closest atoms and distances in Å follow each position.
Atoms (fractional coordinates):
Ti (0.0000, 0.0000, 0.0000)  8 Ti 2.81, 4 Pd 2.92
Ti (0.0000, 0.0000, 0.2447)  8 Ti 2.92-2.93, 4 Hg 2.92
Ti (0.0000, 0.0000, 0.5000)  8 Ti 2.92, 4 Hg 2.92
Ti (0.0000, 0.0000, 0.7553)  8 Ti 2.92-2.93, 4 Hg 2.92
Ti (0.0000, 0.5000, 0.1175)  2 Pd 2.81, 8 Ti 2.81-2.92, 2 Hg 2.93
Ti (0.0000, 0.5000, 0.3731)  4 Hg 2.92, 8 Ti 2.92-2.93
Ti (0.0000, 0.5000, 0.6269)  4 Hg 2.92, 8 Ti 2.92-2.93
Ti (0.0000, 0.5000, 0.8825)  2 Pd 2.81, 8 Ti 2.81-2.92, 2 Hg 2.93
Ti (0.5000, 0.0000, 0.1175)  2 Pd 2.81, 8 Ti 2.81-2.92, 2 Hg 2.93
Ti (0.5000, 0.0000, 0.3731)  4 Hg 2.92, 8 Ti 2.92-2.93
Ti (0.5000, 0.0000, 0.6269)  4 Hg 2.92, 8 Ti 2.92-2.93
Ti (0.5000, 0.0000, 0.8825)  2 Pd 2.81, 8 Ti 2.81-2.92, 2 Hg 2.93
Hg (0.5000, 0.5000, 0.2458)  12 Ti 2.92-2.93
Hg (0.5000, 0.5000, 0.5000)  12 Ti 2.92
Hg (0.5000, 0.5000, 0.7542)  12 Ti 2.92-2.93
Pd (0.5000, 0.5000, 0.0000)  12 Ti 2.81-2.92

The value obtained for the energy is -102.0 eV/cell. The energy of formation from the pure elements is -0.075 eV/atom.



9.
Here is a geometry-optimized AcSmGdCd structure from Alexandria. Energies are from PBE.

a = 8.0277 Å, b = 8.0277 Å, c = 8.0277 Å
α = 90.00°, β = 90.00°, γ = 90.00°
Closest atoms and distances in Å follow each position.
Atoms (fractional coordinates):
Ac (0.0000, 0.0000, 0.0000)  4 Gd 3.48, 4 Sm 3.48
Ac (0.0000, 0.5000, 0.5000)  4 Gd 3.48, 4 Sm 3.48
Ac (0.5000, 0.0000, 0.5000)  4 Gd 3.48, 4 Sm 3.48
Ac (0.5000, 0.5000, 0.0000)  4 Gd 3.48, 4 Sm 3.48
Sm (0.2500, 0.2500, 0.2500)  4 Cd 3.48, 4 Ac 3.48
Sm (0.2500, 0.7500, 0.7500)  4 Cd 3.48, 4 Ac 3.48
Sm (0.7500, 0.2500, 0.7500)  4 Cd 3.48, 4 Ac 3.48
Sm (0.7500, 0.7500, 0.2500)  4 Cd 3.48, 4 Ac 3.48
Gd (0.2500, 0.2500, 0.7500)  4 Cd 3.48, 4 Ac 3.48
Gd (0.2500, 0.7500, 0.2500)  4 Cd 3.48, 4 Ac 3.48
Gd (0.7500, 0.2500, 0.2500)  4 Cd 3.48, 4 Ac 3.48
Gd (0.7500, 0.7500, 0.7500)  4 Cd 3.48, 4 Ac 3.48
Cd (0.0000, 0.0000, 0.5000)  4 Sm 3.48, 4 Gd 3.48
Cd (0.0000, 0.5000, 0.0000)  4 Sm 3.48, 4 Gd 3.48
Cd (0.5000, 0.0000, 0.0000)  4 Sm 3.48, 4 Gd 3.48
Cd (0.5000, 0.5000, 0.5000)  4 Sm 3.48, 4 Gd 3.48

The value obtained for the energy is -94.7 eV/cell. The energy of formation from the pure elements is 0.039 eV/atom.



10.
Here is a geometry-optimized AlInFe2 structure from Alexandria. Energies are from PBE.

a = 3.9303 Å, b = 3.9303 Å, c = 7.6048 Å
α = 90.00°, β = 90.00°, γ = 90.00°
Closest atoms and distances in Å follow each position.
Atoms (fractional coordinates):
Al (0.0000, 0.0000, 0.0000)  8 Fe 2.73, 4 In 2.78
Al (0.5000, 0.5000, 0.5000)  8 Fe 2.73, 4 In 2.78
In (0.0000, 0.0000, 0.5000)  8 Fe 2.73, 4 Al 2.78
In (0.5000, 0.5000, 0.0000)  8 Fe 2.73, 4 Al 2.78
Fe (0.0000, 0.5000, 0.2500)  4 Al 2.73, 4 In 2.73, 4 Fe 2.78
Fe (0.0000, 0.5000, 0.7500)  4 In 2.73, 4 Al 2.73, 4 Fe 2.78
Fe (0.5000, 0.0000, 0.2500)  4 Al 2.73, 4 In 2.73, 4 Fe 2.78
Fe (0.5000, 0.0000, 0.7500)  4 In 2.73, 4 Al 2.73, 4 Fe 2.78

The value obtained for the energy is -45.9 eV/cell. The energy of formation from the pure elements is 0.115 eV/atom.



11.
Here is a geometry-optimized Sr2ScHg2 structure from Alexandria. Energies are from PBE.

a = 5.1827 Å, b = 5.1827 Å, c = 13.0651 Å
α = 90.00°, β = 90.00°, γ = 90.00°
Closest atoms and distances in Å follow each position.
Atoms (fractional coordinates):
Sr (0.0000, 0.5000, 0.2500)  4 Hg 3.22
Sr (0.0000, 0.5000, 0.7500)  4 Hg 3.22
Sr (0.5000, 0.0000, 0.2500)  4 Hg 3.22
Sr (0.5000, 0.0000, 0.7500)  4 Hg 3.22
Sc (0.0000, 0.0000, 0.0000)  8 Hg 3.91, 8 Sr 4.17
Sc (0.5000, 0.5000, 0.5000)  8 Hg 3.91, 8 Sr 4.17
Hg (0.0000, 0.0000, 0.3957)  1 Hg 2.72
Hg (0.0000, 0.0000, 0.6043)  1 Hg 2.72
Hg (0.5000, 0.5000, 0.1043)  1 Hg 2.72
Hg (0.5000, 0.5000, 0.8957)  1 Hg 2.72

The value obtained for the energy is -19.8 eV/cell. The energy of formation from the pure elements is 0.079 eV/atom. Its polymorph energy (0 for the lowest one) is 34.5 kJ/mol of atoms.



12.
Here is a geometry-optimized ZnPbW structure from Alexandria. Energies are from PBE.

a = 2.9628 Å, b = 2.9628 Å, c = 14.5146 Å
α = 90.00°, β = 90.00°, γ = 90.00°
Closest atoms and distances in Å follow each position.
Atoms (fractional coordinates):
Zn (0.0000, 0.0000, 0.0000)  4 W 2.71, 4 Zn 2.96
Zn (0.5000, 0.5000, 0.5000)  4 W 2.71, 4 Zn 2.96
Pb (0.0000, 0.0000, 0.2827)  4 Pb 2.96, 4 W 3.17
Pb (0.5000, 0.5000, 0.7827)  4 Pb 2.96, 4 W 3.17
W (0.0000, 0.0000, 0.6186)  4 Zn 2.71, 4 W 2.96
W (0.5000, 0.5000, 0.1186)  4 Zn 2.71, 4 W 2.96

The value obtained for the energy is -31.5 eV/cell. The energy of formation from the pure elements is 0.731 eV/atom. Its polymorph energy (0 for the lowest one) is 0.2 kJ/mol of atoms.



13.
Here is a geometry-optimized IrNCl2 structure from Alexandria. Energies are from PBE.

a = 2.9994 Å, b = 2.9994 Å, c = 32.5407 Å
α = 90.00°, β = 90.00°, γ = 120.00°
Closest atoms and distances in Å follow each position.
Atoms (fractional coordinates):
Ir (0.0000, 0.0000, 0.0000)  2 Cl 2.21
Ir (0.3333, 0.6667, 0.6667)  2 Cl 2.21
Ir (0.6667, 0.3333, 0.3333)  2 Cl 2.21
N (0.0000, 0.0000, 0.5000)  6 N 3.00
N (0.3333, 0.6667, 0.1667)  6 N 3.00
N (0.6667, 0.3333, 0.8333)  6 N 3.00
Cl (0.0000, 0.0000, 0.0680)  1 Ir 2.21
Cl (0.0000, 0.0000, 0.9320)  1 Ir 2.21
Cl (0.3333, 0.6667, 0.5986)  1 Ir 2.21
Cl (0.3333, 0.6667, 0.7347)  1 Ir 2.21
Cl (0.6667, 0.3333, 0.2653)  1 Ir 2.21
Cl (0.6667, 0.3333, 0.4014)  1 Ir 2.21

The value obtained for the energy is -45.7 eV/cell. Its polymorph energy (0 for the lowest one) is 107.9 kJ/mol of atoms.



| no. | size of the total moment (μB/atom) |
| --- | --- |
| 1 | 0.00 |
| 2 | 0.07 |
| 3 | 1.33 |
| 4 | 0.00 |
| 5 | 0.32 |
| 6 | 0.00 |
| 7 | 0.00 |
| 8 | 0.00 |
| 9 | 2.01 |
| 10 | 1.09 |
| 11 | 0.30 |
| 12 | 0.00 |
| 13 | 0.75 |